A plane-wave DFT calculation with GGA+U was carried out for a relaxed RbRe2MoO8 crystal.

Values from the calculation:
**DOS at the Fermi energy**: 0.365 states/eV/atom
**Total DFT energy (no corrections)**: -7.6442 eV per atom

The structure in POSCAR format:
```
RbRe2MoO8
1.0
-5.235 -1.386 2.335
2.793 -3.859 -3.476
3.574 -3.018 6.221
Rb Re Mo O
1 2 1 8
Direct
0.000 0.000 0.000
0.667 0.333 0.263
0.333 0.667 0.737
0.000 0.000 0.500
0.333 0.667 0.964
0.333 0.167 0.340
0.833 0.167 0.340
0.667 0.333 0.036
0.167 0.833 0.660
0.667 0.833 0.660
0.167 0.333 0.660
0.833 0.667 0.340
```